{
  "formula": "HfH2Ir",
  "functional": "GGA-PBE",
  "state": "relaxed",
  "lattice": [[0.000, 2.754, 2.754], [2.754, 0.000, 2.754], [2.754, 2.754, 0.000]],
  "species": ["Hf", "H", "H", "Ir"],
  "fractional_positions": [[0.000, 0.000, 0.000], [0.250, 0.250, 0.250], [0.750, 0.750, 0.750], [0.500, 0.500, 0.500]],
  "crystal_system": "cubic",
  "e_above_lowest_polymorph_ev_per_fu": 1.29,
  "dos_at_fermi_per_ev_atom": 0.643
}